4
Lattice="3.274 0.000 0.000 0.000 3.274 0.000 0.000 0.000 8.389" Properties=species:S:1:pos:R:3 comment="ZnAgSb2 | Alexandria | PBE | relaxed" energy_ev_per_atom=-2.905 formation_energy_uncorrected_kj_per_mol_atoms=18.05 space_group="P4/mmm, No. 123" pbc="T T T"
Zn 0.000 0.000 0.000
Ag 0.000 0.000 4.194
Sb 1.637 1.637 2.066
Sb 1.637 1.637 6.322

=====

4
Lattice="3.184 0.000 0.000 0.000 4.171 0.000 -1.531 0.000 6.978" Properties=species:S:1:pos:R:3 comment="ZnAgSb2 | Alexandria | PBE | relaxed" energy_ev_per_atom=-2.908 formation_energy_uncorrected_kj_per_mol_atoms=17.84 space_group="P2/m, No. 10" pbc="T T T"
Zn 0.000 0.000 0.000
Ag -0.765 0.000 3.489
Sb 0.796 2.085 1.808
Sb 0.857 2.085 5.169

=====

10
Lattice="8.000 0.000 0.000 0.000 8.000 0.000 0.000 0.000 2.953" Properties=species:S:1:pos:R:3 comment="Zn2Ag2Sb | Alexandria | PBE | relaxed" energy_ev_per_atom=-2.391 formation_energy_uncorrected_kj_per_mol_atoms=8.09 relative_energy_ev_per_fu=0.000 space_group="P4/mbm, No. 127" pbc="T T T"
Zn 1.309 2.691 0.000
Zn 2.691 6.691 0.000
Zn 5.309 1.309 0.000
Zn 6.691 5.309 0.000
Ag 1.062 5.062 1.477
Ag 2.938 1.062 1.477
Ag 5.062 6.938 1.477
Ag 6.938 2.938 1.477
Sb 0.000 0.000 1.477
Sb 4.000 4.000 1.477

=====

4
Lattice="4.334 0.000 0.000 0.000 4.968 0.000 -0.618 0.000 4.291" Properties=species:S:1:pos:R:3 comment="ZnAgSb2 | Alexandria | PBE | relaxed" energy_ev_per_atom=-2.965 formation_energy_uncorrected_kj_per_mol_atoms=12.28 space_group="Pm, No. 6" pbc="T T T"
Zn 0.000 0.000 0.000
Ag 0.350 2.484 3.444
Sb 1.637 0.000 2.337
Sb 3.049 2.484 1.106

=====

4
Lattice="1.855 1.071 7.779 -1.855 1.071 7.779 0.000 -2.141 7.779" Properties=species:S:1:pos:R:3 comment="ZnAgSb2 | Alexandria | PBE | relaxed" energy_ev_per_atom=-2.948 formation_energy_uncorrected_kj_per_mol_atoms=13.91 space_group="R-3m, No. 166" pbc="T T T"
Zn 0.000 0.000 0.000
Ag 0.000 0.000 11.668
Sb 0.000 0.000 5.895
Sb 0.000 0.000 17.441

=====

8
Lattice="4.300 -4.307 0.000 4.300 4.307 0.000 0.000 0.000 3.987" Properties=species:S:1:pos:R:3 comment="ZnAg6Sb | Alexandria | PBE | relaxed" energy_ev_per_atom=-2.771 formation_energy_uncorrected_kj_per_mol_atoms=4.08 relative_energy_ev_per_fu=0.000 space_group="Cmmm, No. 65" pbc="T T T"
Zn 0.000 0.000 0.000
Ag 2.150 2.153 0.000
Ag 2.043 0.000 1.993
Ag 4.300 2.256 1.993
Ag 2.150 -2.153 0.000
Ag 4.300 -2.256 1.993
Ag 6.557 0.000 1.993
Sb 4.300 0.000 0.000